Record 1
The following is a DFT calculation (PBE-GGA) of crystalline AcUSn2 at its relaxed geometry.

Unit cell a=10.8152 b=10.8152 c=10.8152 alpha=19.42 beta=19.42 gamma=19.42
Element x y z (fractional)
Ac  0.0000  0.0000  0.0000
U  0.5000  0.5000  0.5000
Sn  0.2453  0.2453  0.2453
Sn  0.7547  0.7547  0.7547

Properties
D(E_F) ... 1.98 states/eV per atom
Space-group type ... R-3m
Energy of formation ... 0 kJ per mole of atoms

***

Record 2
The following is a DFT calculation (PBE-GGA) of crystalline Sr2AgSbC at its relaxed geometry.

Unit cell a=6.2983 b=6.2983 c=4.3145 alpha=90.00 beta=90.00 gamma=90.00
Element x y z (fractional)
Sr  0.0000  0.5000  0.0000
Sr  0.5000  0.0000  0.0000
Ag  0.0000  0.0000  0.5000
Sb  0.5000  0.5000  0.0000
C  0.5000  0.5000  0.5000

Properties
Formation energy (no corrections) ... 665 meV per atom
D(E_F) ... 0.58 states/eV per atom
Space-group type ... P4/mmm

***

Record 3
The following is a DFT calculation (PBE-GGA) of crystalline CaDy2Pd2 at its relaxed geometry.

Unit cell a=5.4105 b=7.3861 c=8.1621 alpha=82.95 beta=70.65 gamma=68.57
Element x y z (fractional)
Ca  0.1253  0.2500  0.2503
Ca  0.8747  0.7500  0.7497
Dy  0.2106  0.7499  0.0776
Dy  0.4611  0.2502  0.5777
Dy  0.5389  0.7498  0.4223
Dy  0.7894  0.2501  0.9224
Pd  0.2719  0.9554  0.7497
Pd  0.4767  0.5446  0.7504
Pd  0.5233  0.4554  0.2496
Pd  0.7281  0.0446  0.2503

Properties
D(E_F) ... 0.80 states/eV per atom
Distance to the lowest polymorph of the same formula ... 209 meV/atom
Space-group type ... P-1
Energy of formation ... -48 kJ per mole of atoms

***

Record 4
The following is a DFT calculation (PBE-GGA) of crystalline Er2PuGa2Ru5 at its relaxed geometry.

Unit cell a=10.0430 b=10.0430 c=3.4541 alpha=90.00 beta=90.00 gamma=90.00
Element x y z (fractional)
Er  0.1690  0.3310  0.0000
Er  0.3310  0.8310  0.0000
Er  0.6690  0.1690  0.0000
Er  0.8310  0.6690  0.0000
Pu  0.0000  0.0000  0.0000
Pu  0.5000  0.5000  0.0000
Ga  0.1275  0.6275  0.0000
Ga  0.3725  0.1275  0.0000
Ga  0.6275  0.8725  0.0000
Ga  0.8725  0.3725  0.0000
Ru  0.0000  0.5000  0.5000
Ru  0.0680  0.8001  0.5000
Ru  0.1999  0.0680  0.5000
Ru  0.3001  0.5680  0.5000
Ru  0.4320  0.3001  0.5000
Ru  0.5000  0.0000  0.5000
Ru  0.5680  0.6999  0.5000
Ru  0.6999  0.4320  0.5000
Ru  0.8001  0.9320  0.5000
Ru  0.9320  0.1999  0.5000

Properties
D(E_F) ... 1.05 states/eV per atom
Space-group type ... P4/mbm
Energy of formation ... -36 kJ per mole of atoms

***

Record 5
The following is a DFT calculation (PBE-GGA) of crystalline Ce2Be4Si3Tc at its relaxed geometry.

Unit cell a=3.9107 b=3.9107 c=9.7162 alpha=90.00 beta=90.00 gamma=90.00
Element x y z (fractional)
Ce  0.0000  0.5000  0.2476
Ce  0.5000  0.0000  0.7524
Be  0.0000  0.0000  0.0000
Be  0.0000  0.5000  0.6316
Be  0.5000  0.0000  0.3684
Be  0.5000  0.5000  0.0000
Si  0.0000  0.5000  0.8716
Si  0.5000  0.0000  0.1284
Si  0.5000  0.5000  0.5000
Tc  0.0000  0.0000  0.5000

Properties
Formation energy (no corrections) ... -372 meV per atom
D(E_F) ... 0.90 states/eV per atom
Space-group type ... P-4m2

***

Record 6
The following is a DFT calculation (PBE-GGA) of crystalline Mg3ScCu at its relaxed geometry.

Unit cell a=4.8313 b=4.8313 c=4.8313 alpha=90.00 beta=90.00 gamma=90.00
Element x y z (fractional)
Mg  0.0000  0.0000  0.5000
Mg  0.0000  0.5000  0.0000
Mg  0.5000  0.0000  0.0000
Sc  0.5000  0.5000  0.5000
Cu  0.0000  0.0000  0.0000

Properties
D(E_F) ... 0.68 states/eV per atom
Distance to the lowest polymorph of the same formula ... 0 meV/atom
Space-group type ... Pm-3m
Energy of formation ... 16 kJ per mole of atoms